1.
# Na2BeS PBE optimized geometry
# Uncorrected formation energy ... 0.07 eV per atom
# Energy above the lowest structure with this stoichiometry ... 0 meV per atom
# Total moment ... 0.0 μB/cell
data_Na2BeS
_chemical_formula_sum 'Na2 Be1 S1'
_cell_length_a 4.8557
_cell_length_b 4.8557
_cell_length_c 4.8557
_cell_angle_alpha 60.00
_cell_angle_beta 60.00
_cell_angle_gamma 60.00
_symmetry_space_group_name_H-M 'P 1'
_symmetry_Int_Tables_number 1
loop_
_symmetry_equiv_pos_as_xyz
'x,y,z'
loop_
_atom_site_label
_atom_site_fract_x
_atom_site_fract_y
_atom_site_fract_z
Na1 0.2500 0.2500 0.2500
Na2 0.7500 0.7500 0.7500
S1 0.5000 0.5000 0.5000
Be1 0.0000 0.0000 0.0000

2.
# Na2BeSbS4 PBE optimized geometry
# Uncorrected formation energy ... -0.69 eV per atom
# Total moment ... 0.9 μB/cell
data_Na2BeSbS4
_chemical_formula_sum 'Na2 Be1 Sb1 S4'
_cell_length_a 6.3642
_cell_length_b 6.3706
_cell_length_c 6.5429
_cell_angle_alpha 119.23
_cell_angle_beta 119.20
_cell_angle_gamma 89.86
_symmetry_space_group_name_H-M 'P 1'
_symmetry_Int_Tables_number 1
loop_
_symmetry_equiv_pos_as_xyz
'x,y,z'
loop_
_atom_site_label
_atom_site_fract_x
_atom_site_fract_y
_atom_site_fract_z
Na1 0.4864 0.9864 0.9729
Na2 0.2360 0.2360 0.4722
Be1 0.9857 0.4858 0.9715
Sb1 0.7361 0.7360 0.4722
S1 0.6875 0.5997 0.7556
S2 0.8717 0.4038 0.1872
S3 0.3156 0.7835 0.1870
S4 0.0680 0.1559 0.7555

3.
# Na2ScBeS PBE optimized geometry
# Uncorrected formation energy ... 0.01 eV per atom
# Total moment ... 0.8 μB/cell
data_Na2ScBeS
_chemical_formula_sum 'Na2 Sc1 Be1 S1'
_cell_length_a 5.0963
_cell_length_b 4.9252
_cell_length_c 5.0963
_cell_angle_alpha 90.00
_cell_angle_beta 90.00
_cell_angle_gamma 90.00
_symmetry_space_group_name_H-M 'P 1'
_symmetry_Int_Tables_number 1
loop_
_symmetry_equiv_pos_as_xyz
'x,y,z'
loop_
_atom_site_label
_atom_site_fract_x
_atom_site_fract_y
_atom_site_fract_z
Sc1 0.0000 0.5000 0.0000
Na1 0.0000 0.0000 0.5000
Na2 0.5000 0.0000 0.0000
S1 0.0000 0.0000 0.0000
Be1 0.5000 0.5000 0.5000